Below is a geometry-optimized Pm3DyY3S8 structure, with properties calculated at the PBE-GGA level.

The structure in POSCAR format:
```
Pm3DyY3S8
1.0
-4.4385 6.3547 1.5459
-3.4325 -6.7987 -2.1140
3.4159 0.6457 7.1532
Pm S Y Dy
3 8 3 1
Direct
0.5000 0.5000 0.0000
0.0000 0.5000 0.0000
0.0000 0.0000 0.0000
0.2535 0.5069 0.2604
0.7458 0.9931 0.7405
0.2474 0.4947 0.7405
0.7526 0.5053 0.2595
0.7526 0.0069 0.2595
0.2474 0.9931 0.7405
0.2542 0.0069 0.2595
0.7465 0.4931 0.7396
0.5000 0.5000 0.5000
0.5000 0.0000 0.5000
0.0000 0.5000 0.5000
0.0000 0.0000 0.5000
```

Results
Fermi-level density of states: 0.456 states/eV/atom
energy: -102.2 eV per cell